Cs2InHg6Pd PBE relaxed; calculated formation energy = -0.21 eV/atom; space-group type = C2/m, No. 12; volume = 35.93 Å³/atom; DOS at the Fermi energy = 0.4664 states/eV per atom; crystal system = monoclinic
1.0
5.612 -5.671 0.000
5.612 5.671 0.000
-5.600 0.000 5.645
Cs In Hg Pd
2 1 6 1
direct
0.249 0.751 0.000
0.751 0.249 0.000
0.000 0.000 0.500
0.260 0.260 0.020
0.261 0.261 0.504
0.261 0.739 0.500
0.739 0.261 0.500
0.739 0.739 0.496
0.740 0.740 0.980
0.500 0.500 0.500



CsRbInHg2 PBE relaxed; calculated formation energy = -0.03 eV/atom; space-group type = P4/mmm, No. 123; volume = 47.45 Å³/atom; DOS at the Fermi energy = 0.4789 states/eV per atom; crystal system = tetragonal
1.0
5.888 0.000 0.000
0.000 5.888 0.000
0.000 0.000 6.844
Cs Rb In Hg
1 1 1 2
direct
0.000 0.000 0.000
0.500 0.500 0.000
0.500 0.500 0.500
0.000 0.500 0.500
0.500 0.000 0.500



CsIn2HgRh PBE relaxed; calculated formation energy = -0.23 eV/atom; space-group type = P4/mmm, No. 123; volume = 30.42 Å³/atom; DOS at the Fermi energy = 0.2605 states/eV per atom; crystal system = tetragonal
1.0
5.239 0.000 0.000
0.000 5.239 0.000
0.000 0.000 5.542
Cs In Hg Rh
1 2 1 1
direct
0.000 0.000 0.000
0.000 0.500 0.500
0.500 0.000 0.500
0.500 0.500 0.000
0.500 0.500 0.500



Q: The lowest DOS at the Fermi energy belongs to which entry?
A: CsIn2HgRh



What did the first record say?
Cs2InHg6Pd PBE relaxed; calculated formation energy = -0.21 eV/atom; space-group type = C2/m, No. 12; volume = 35.93 Å³/atom; DOS at the Fermi energy = 0.4664 states/eV per atom; crystal system = monoclinic
1.0
5.612 -5.671 0.000
5.612 5.671 0.000
-5.600 0.000 5.645
Cs In Hg Pd
2 1 6 1
direct
0.249 0.751 0.000
0.751 0.249 0.000
0.000 0.000 0.500
0.260 0.260 0.020
0.261 0.261 0.504
0.261 0.739 0.500
0.739 0.261 0.500
0.739 0.739 0.496
0.740 0.740 0.980
0.500 0.500 0.500



Q: volume of number 2 (CsRbInHg2)?
A: 47.45 Å³/atom